The following is a PBE-GGA calculation of a relaxed structure of CoBW3, from Alexandria.

Uncorrected energy: -0.30789 Ha/atom
Space-group type: Pm-3m, No. 221
Total magnetic moment: 0.0 μB/f.u.
Crystal system: cubic
ΔE_f: 2150 meV/atom

Lattice parameters (Å, degrees): 4.3995 4.3995 4.3995 90.00 90.00 90.00
Last column: nearest neighbours and their distance in Å.
Fractional positions:
B 0.5000 0.5000 0.5000  12 W 3.11
Co 0.0000 0.0000 0.0000  6 W 2.20
W 0.0000 0.5000 0.0000  2 Co 2.20
W 0.0000 0.0000 0.5000  2 Co 2.20
W 0.5000 0.0000 0.0000  2 Co 2.20